A plane-wave DFT calculation with PBE was carried out for a relaxed Ac2CuPd6 crystal.

The space group is P-3m1 (No. 164) and the conventional cell measures 5.9075, 5.9075 and 5.9781 Å, with angles of 90.00, 90.00 and 120.00 degrees. Symmetry generates all atoms from Ac at (0.3333, 0.6667, 0.1851), Cu at (0.0000, 0.0000, 0.0000) and Pd at (0.1719, 0.3439, 0.6858).

For the energy, the calculation gives -5.477 eV/atom. Its total magnetic moment is 0.00 μB/f.u.

---

A plane-wave DFT calculation with PBE was carried out for a relaxed Pm4Mg3Co crystal.

The space group is P4/mmm (No. 123) and the conventional cell measures 3.643, 3.643 and 16.128 Å, with angles of 90.00, 90.00 and 90.00 degrees. Symmetry generates all atoms from Pm at (0.000, 0.000, 0.101), Pm at (0.000, 0.000, 0.371), Mg at (0.500, 0.500, 0.239), Mg at (0.500, 0.500, 0.500) and Co at (0.500, 0.500, 0.000).

For the energy, the calculation gives -3.924 eV/atom. Its total magnetic moment is 0.51 μB/f.u.

---

A plane-wave DFT calculation with PBE was carried out for a relaxed Zr2Ta crystal.

The space group is P6_3/mmc (No. 194) and the conventional cell measures 4.9607, 4.9607 and 6.0692 Å, with angles of 90.00, 90.00 and 120.00 degrees. Symmetry generates all atoms from Zr at (0.0000, 0.0000, 0.0000), Zr at (0.3333, 0.6667, 0.2500) and Ta at (0.3333, 0.6667, 0.7500).

For the energy, the calculation gives -9.479 eV/atom. Its total magnetic moment is 0.00 μB/f.u.

---

A plane-wave DFT calculation with PBE was carried out for a relaxed AcLa3Y crystal.

The space group is Cmcm (No. 63) and the conventional cell measures 6.199, 9.476 and 13.350 Å, with angles of 90.00, 90.00 and 90.00 degrees. Symmetry generates all atoms from Ac at (0.000, 0.000, 0.000), La at (0.000, 0.063, 0.250), La at (0.000, 0.375, 0.118) and Y at (0.000, 0.280, 0.750).

The value obtained for the excess energy over the best structure of this formula in the dataset is 0.070 eV/atom. Its total magnetic moment is 0.00 μB/f.u.